Record 1
{"formula": "SiAg4Os", "functional": "PBE-GGA", "state": "relaxed", "final_energy_ev_per_atom": -3.72, "raw_formation_energy_ev_per_atom": 0.956, "lattice_angstrom": [[0.000, 3.772, 3.772], [3.772, 0.000, 3.772], [3.772, 3.772, 0.000]], "species": ["Si", "Ag", "Ag", "Ag", "Ag", "Os"], "frac_coords": [[0.000, 0.000, 0.000], [0.875, 0.375, 0.375], [0.375, 0.375, 0.875], [0.375, 0.875, 0.375], [0.375, 0.375, 0.375], [0.750, 0.750, 0.750]]}

***

Record 2
{"formula": "Mo2Pt", "functional": "PBE-GGA", "state": "relaxed", "ef_ev_per_atom": 0.77, "final_energy_ev_per_atom": -8.46, "lattice_angstrom": [[-5.133, -3.176, 1.183], [2.082, -1.260, 5.649], [-2.675, 5.114, 2.126]], "species": ["Mo", "Mo", "Mo", "Mo", "Mo", "Mo", "Mo", "Mo", "Pt", "Pt", "Pt", "Pt"], "frac_coords": [[0.105, 0.605, 0.895], [0.105, 0.895, 0.395], [0.395, 0.105, 0.895], [0.395, 0.395, 0.395], [0.605, 0.605, 0.605], [0.605, 0.895, 0.105], [0.895, 0.105, 0.605], [0.895, 0.395, 0.105], [0.000, 0.000, 0.000], [0.000, 0.500, 0.500], [0.500, 0.000, 0.500], [0.500, 0.500, 0.000]]}

***

Record 3
{"formula": "Zr3InS6", "functional": "PBE-GGA", "state": "relaxed", "final_energy_ev_per_atom": -6.61, "raw_formation_energy_ev_per_atom": -1.299, "lattice_angstrom": [[3.688, 0.000, 0.000], [0.000, 10.642, -3.272], [0.000, -0.159, 11.170]], "species": ["Zr", "Zr", "Zr", "Zr", "Zr", "Zr", "In", "In", "S", "S", "S", "S", "S", "S", "S", "S", "S", "S", "S", "S"], "frac_coords": [[0.750, 0.459, 0.850], [0.250, 0.541, 0.150], [0.750, 0.668, 0.492], [0.250, 0.332, 0.508], [0.750, 0.147, 0.088], [0.250, 0.853, 0.912], [0.750, 0.053, 0.685], [0.250, 0.947, 0.315], [0.750, 0.500, 0.624], [0.250, 0.500, 0.376], [0.750, 0.916, 0.085], [0.250, 0.084, 0.915], [0.750, 0.372, 0.042], [0.250, 0.628, 0.958], [0.750, 0.695, 0.257], [0.250, 0.305, 0.743], [0.750, 0.170, 0.481], [0.250, 0.830, 0.519], [0.750, 0.798, 0.749], [0.250, 0.202, 0.251]]}

***

Record 4
{"formula": "Dy4Ta6O19", "functional": "PBE-GGA", "state": "relaxed", "final_energy_ev_per_atom": -9.30, "raw_formation_energy_ev_per_atom": -2.960, "lattice_angstrom": [[-0.382, -7.248, -3.108], [5.190, 0.042, 5.950], [-7.120, 2.083, 2.703]], "species": ["Dy", "Dy", "Dy", "Dy", "Ta", "Ta", "Ta", "Ta", "Ta", "Ta", "O", "O", "O", "O", "O", "O", "O", "O", "O", "O", "O", "O", "O", "O", "O", "O", "O", "O", "O"], "frac_coords": [[0.000, 0.000, 0.713], [0.000, 0.713, 0.000], [0.287, 0.287, 0.287], [0.713, 0.000, 0.000], [0.347, 0.500, 0.847], [0.653, 0.500, 0.153], [0.153, 0.653, 0.500], [0.847, 0.347, 0.500], [0.500, 0.847, 0.347], [0.500, 0.153, 0.653], [0.672, 0.000, 0.672], [0.328, 0.000, 0.328], [0.328, 0.328, 0.000], [0.672, 0.672, 0.000], [0.000, 0.672, 0.672], [0.000, 0.328, 0.328], [0.000, 0.000, 0.000], [0.364, 0.330, 0.609], [0.636, 0.245, 0.966], [0.721, 0.755, 0.391], [0.966, 0.636, 0.245], [0.279, 0.670, 0.034], [0.609, 0.364, 0.330], [0.034, 0.279, 0.670], [0.391, 0.721, 0.755], [0.670, 0.034, 0.279], [0.245, 0.966, 0.636], [0.330, 0.609, 0.364], [0.755, 0.391, 0.721]]}